Arrangement 1

Material: Pm7YTm12
Method: DFT, PBE-GGA
State: relaxed

Cell: 8.7246 8.7246 8.7246 Å, 85.82 85.82 85.82°
Positions (direct):
Tm1 0.2729 0.1465 0.7427
Tm2 0.5031 0.3804 0.8662
Tm3 0.8662 0.5031 0.3804
Tm4 0.6196 0.1338 0.4969
Tm5 0.7427 0.2729 0.1465
Tm6 0.7271 0.8535 0.2573
Tm7 0.1465 0.7427 0.2729
Tm8 0.4969 0.6196 0.1338
Tm9 0.1338 0.4969 0.6196
Tm10 0.2573 0.7271 0.8535
Tm11 0.3804 0.8662 0.5031
Tm12 0.8535 0.2573 0.7271
Pm1 0.5000 0.5000 0.5000
Pm2 0.3983 0.0741 0.1562
Pm3 0.8438 0.6017 0.9259
Pm4 0.6017 0.9259 0.8438
Pm5 0.0741 0.1562 0.3983
Pm6 0.1562 0.3983 0.0741
Pm7 0.9259 0.8438 0.6017
Y1 0.0000 0.0000 0.0000

Properties
Space group   R-3 (148)
M_tot   0.0 μB/cell

Arrangement 2

Material: Pm7YTm12
Method: DFT, PBE-GGA
State: relaxed

Cell: 9.6819 9.6819 9.6819 Å, 109.47 109.47 109.47°
Positions (direct):
Y1 0.0000 0.0000 0.0000
Pm1 0.0000 0.5000 0.0000
Pm2 0.5000 0.5000 0.5000
Pm3 0.5000 0.0000 0.5000
Pm4 0.0000 0.5000 0.5000
Pm5 0.5000 0.0000 0.0000
Pm6 0.0000 0.0000 0.5000
Pm7 0.5000 0.5000 0.0000
Tm1 0.7521 0.5037 0.7516
Tm2 0.2484 0.2479 0.4963
Tm3 0.2479 0.4963 0.2484
Tm4 0.5037 0.7516 0.7521
Tm5 0.7521 0.0005 0.2484
Tm6 0.2484 0.7521 0.0005
Tm7 0.7516 0.2479 0.9995
Tm8 0.9995 0.7516 0.2479
Tm9 0.4963 0.2484 0.2479
Tm10 0.0005 0.2484 0.7521
Tm11 0.7516 0.7521 0.5037
Tm12 0.2479 0.9995 0.7516

Properties
Space group   Im-3m (229)
M_tot   0.0 μB/cell

Question: of the structures shown, which is the most stable? Reply: arrangement 1.